[1]
{"formula": "ZrIn2Co", "functional": "meta-GGA SCAN", "state": "single point on PBEsol structure", "cell": [[4.665, 0.000, 0.000], [2.333, 4.040, 0.000], [2.333, 1.347, 3.809]], "species": ["Co", "In", "In", "Zr"], "frac_coords": [[0.500, 0.500, 0.500], [0.000, 0.000, 0.000], [0.250, 0.250, 0.250], [0.750, 0.750, 0.750]], "sg": "F-43m (216)", "magnetic_moment_mub_per_atom": 0.001, "crystal_system": "cubic", "delta_e_f_mev_per_atom": 97}

[2]
{"formula": "BeTe2WCl", "functional": "meta-GGA SCAN", "state": "single point on PBEsol structure", "cell": [[4.620, 0.000, 0.000], [0.000, 5.113, 0.000], [0.000, 0.000, 5.113]], "species": ["Cl", "W", "Te", "Te", "Be"], "frac_coords": [[0.500, 0.500, 0.500], [0.000, 0.000, 0.000], [0.000, 0.500, 0.000], [0.000, 0.000, 0.500], [0.500, 0.000, 0.000]], "sg": "P4/mmm (123)", "magnetic_moment_mub_per_atom": 0.000, "crystal_system": "tetragonal", "formation_energy_uncorrected_mev_per_atom": 502}

[3]
{"formula": "LaSbIrRh2", "functional": "meta-GGA SCAN", "state": "single point on PBEsol structure", "cell": [[-0.559, -1.508, 4.499], [-1.036, -4.382, -1.597], [4.729, -1.187, 0.190]], "species": ["Rh", "Rh", "Sb", "Ir", "La"], "frac_coords": [[0.500, 0.000, 0.000], [0.000, 0.500, 0.000], [0.000, 0.000, 0.000], [0.000, 0.000, 0.500], [0.500, 0.500, 0.500]], "sg": "P4/mmm (123)", "magnetic_moment_mub_per_atom": 0.000, "crystal_system": "tetragonal", "formation_energy_uncorrected_mev_per_atom": 89}

[4]
{"formula": "SrLiMg2", "functional": "meta-GGA SCAN", "state": "single point on PBEsol structure", "cell": [[-0.581, -0.519, -5.202], [2.334, -4.055, 2.804], [-2.702, -4.451, 0.746]], "species": ["Sr", "Mg", "Mg", "Li"], "frac_coords": [[0.500, 0.000, 0.500], [0.250, 0.500, 0.250], [0.000, 0.000, 0.000], [0.750, 0.500, 0.750]], "sg": "I-4m2 (119)", "magnetic_moment_mub_per_atom": 0.016, "crystal_system": "tetragonal", "delta_e_f_mev_per_atom": 6}

[5]
{"formula": "YNi2RhC", "functional": "meta-GGA SCAN", "state": "single point on PBEsol structure", "cell": [[-1.695, -2.889, -3.032], [0.126, -3.304, 3.079], [-4.372, 1.118, 1.379]], "species": ["C", "Rh", "Y", "Ni", "Ni"], "frac_coords": [[0.500, 0.500, 0.500], [0.000, 0.000, 0.500], [0.000, 0.000, 0.000], [0.000, 0.500, 0.000], [0.500, 0.000, 0.000]], "sg": "P4/mmm (123)", "magnetic_moment_mub_per_atom": 0.001, "crystal_system": "tetragonal", "delta_e_f_mev_per_atom": 2781}

[6]
{"formula": "Li5Ti2Fe3O10", "functional": "meta-GGA SCAN", "state": "single point on PBEsol structure", "cell": [[-3.011, 3.563, 1.929], [0.474, -1.016, 4.837], [4.298, 5.205, 3.395]], "species": ["Fe", "Fe", "Fe", "O", "O", "O", "O", "O", "O", "O", "O", "O", "O", "Li", "Li", "Li", "Li", "Li", "Ti", "Ti"], "frac_coords": [[0.998, 0.696, 0.098], [0.500, 0.000, 0.000], [0.002, 0.304, 0.902], [0.227, 0.961, 0.858], [0.758, 0.632, 0.958], [0.756, 0.452, 0.339], [0.772, 0.236, 0.760], [0.770, 0.868, 0.550], [0.244, 0.548, 0.661], [0.228, 0.764, 0.240], [0.230, 0.132, 0.450], [0.242, 0.368, 0.042], [0.773, 0.039, 0.142], [0.521, 0.585, 0.787], [0.496, 0.216, 0.591], [0.000, 0.500, 0.500], [0.504, 0.784, 0.409], [0.479, 0.415, 0.213], [0.007, 0.871, 0.706], [0.993, 0.129, 0.294]], "sg": "P-1 (2)", "magnetic_moment_mub_per_atom": 0.250, "crystal_system": "triclinic", "formation_energy_uncorrected_mev_per_atom": -2344}